Record 1
BeZnOs: PBEsol geometry, SCAN.

Output
Symmetry = F-43m (216)
Density of states at the Fermi level = 0.4987 states/eV per atom

```
BeZnOs
1.0
-3.688 0.469 0.509
-2.150 -2.925 0.951
-1.460 -0.212 3.451
Be Zn Os
1 1 1
direct
0.250 0.250 0.250
0.500 0.500 0.500
0.000 0.000 0.000
```

Record 2
BeZn2Os: PBEsol geometry, SCAN.

Output
Symmetry = Cmmm (65)
Density of states at the Fermi level = 0.5212 states/eV per atom

```
BeZn2Os
1.0
2.649 0.000 0.000
0.000 4.579 -0.010
0.000 -1.885 4.173
Be Zn Os
1 2 1
direct
0.500 0.000 0.000
0.000 0.500 0.000
0.000 0.000 0.500
0.500 0.500 0.500
```

Record 3
Be2ZnOs2: PBEsol geometry, SCAN.

Output
Symmetry = P4/mbm (127)
Density of states at the Fermi level = 0.0581 states/eV per atom

```
Be2ZnOs2
1.0
-0.351 -2.833 1.393
5.750 -0.179 1.084
-0.888 2.642 5.148
Be Zn Os
4 2 4
direct
0.000 0.377 0.877
0.000 0.877 0.623
0.000 0.623 0.123
0.000 0.123 0.377
0.000 0.000 0.000
0.000 0.500 0.500
0.500 0.173 0.673
0.500 0.673 0.827
0.500 0.827 0.327
0.500 0.327 0.173
```

Which formation enthalpy at 0 K belongs to each record? In order, 0.90 0.59 -1.34 eV/f.u..
Which energy belongs to each record? In order, -88.8 -102.7 -334.6 eV/cell.